[1]
Here is a relaxed SmDyPd2 crystal from Alexandria. Energies are from PBE-GGA.

As for the volume: 23.14 A^3/atom. The formation energy comes out at -339.9 kJ/mol of formula units. The value obtained for the polymorph energy (0 for the lowest one) is 0 meV/atom.

The structure belongs to space group Amm2 (No. 38); the cell edges are 4.569, 3.801 and 10.658 Å and the angles 90.00°, 90.00° and 90.00°. The asymmetric unit holds Sm at (0.000, 0.000, 0.000), Dy at (0.500, 0.000, 0.274), Pd at (0.000, 0.000, 0.725) and Pd at (0.500, 0.000, 0.553).

=====

[2]
Here is a relaxed TaAgBr2 crystal from Alexandria. Energies are from PBE-GGA.

As for the volume: 30.31 A^3/atom. The value obtained for the uncorrected formation energy is -17.9 meV per atom. The value obtained for the polymorph energy (0 for the lowest one) is 66 meV/atom.

The structure belongs to space group Cm (No. 8); the cell edges are 10.562, 3.177 and 7.759 Å and the angles 90.00°, 111.34° and 90.00°. The asymmetric unit holds Ta at (0.000, 0.000, 0.000), Ag at (0.270, 0.000, 0.000), Br at (0.104, 0.500, 0.286) and Br at (0.452, 0.000, 0.714).

=====

[3]
Here is a relaxed CsHfBi2Se crystal from Alexandria. Energies are from PBE-GGA.

As for the volume: 40.56 A^3/atom. The value obtained for the uncorrected formation energy is 1662.9 meV per atom.

The structure belongs to space group P4/mmm (No. 123); the cell edges are 6.145, 6.145 and 5.371 Å and the angles 90.00°, 90.00° and 90.00°. The asymmetric unit holds Cs at (0.000, 0.000, 0.000), Hf at (0.500, 0.500, 0.500), Bi at (0.000, 0.500, 0.000) and Se at (0.000, 0.000, 0.500).

=====

[4]
Here is a relaxed Tl3ClO crystal from Alexandria. Energies are from PBE-GGA.

As for the volume: 29.63 A^3/atom. The value obtained for the uncorrected formation energy is -487.3 meV per atom. The value obtained for the polymorph energy (0 for the lowest one) is 202 meV/atom.

The structure belongs to space group Pm-3m (No. 221); the cell edges are 5.292, 5.292 and 5.292 Å and the angles 90.00°, 90.00° and 90.00°. The asymmetric unit holds Tl at (0.000, 0.000, 0.500), Cl at (0.500, 0.500, 0.500) and O at (0.000, 0.000, 0.000).

=====

[5]
Here is a relaxed YScRh3 crystal from Alexandria. Energies are from PBE-GGA.

As for the volume: 22.93 A^3/atom. The formation energy comes out at 299.5 kJ/mol of formula units.

The structure belongs to space group Pm-3m (No. 221); the cell edges are 4.858, 4.858 and 4.858 Å and the angles 90.00°, 90.00° and 90.00°. The asymmetric unit holds Y at (0.000, 0.000, 0.000), Sc at (0.500, 0.500, 0.500) and Rh at (0.000, 0.000, 0.500).

=====

[6]
Here is a relaxed La3Pr8Er2 crystal from Alexandria. Energies are from PBE-GGA.

As for the volume: 36.03 A^3/atom. The formation energy comes out at 172.4 kJ/mol of formula units. The value obtained for the polymorph energy (0 for the lowest one) is 0 meV/atom.

The structure belongs to space group C2/m (No. 12); the cell edges are 13.490, 11.991 and 6.279 Å and the angles 90.00°, 112.72° and 90.00°. The asymmetric unit holds La at (0.000, 0.000, 0.000), La at (0.000, 0.239, 0.500), Pr at (0.058, 0.500, 0.292), Pr at (0.158, 0.000, 0.545), Pr at (0.176, 0.256, 0.177) and Er at (0.210, 0.500, 0.865).

=====

Copy entry 6 word for word.
Here is a relaxed La3Pr8Er2 crystal from Alexandria. Energies are from PBE-GGA.

As for the volume: 36.03 A^3/atom. The formation energy comes out at 172.4 kJ/mol of formula units. The value obtained for the polymorph energy (0 for the lowest one) is 0 meV/atom.

The structure belongs to space group C2/m (No. 12); the cell edges are 13.490, 11.991 and 6.279 Å and the angles 90.00°, 112.72° and 90.00°. The asymmetric unit holds La at (0.000, 0.000, 0.000), La at (0.000, 0.239, 0.500), Pr at (0.058, 0.500, 0.292), Pr at (0.158, 0.000, 0.545), Pr at (0.176, 0.256, 0.177) and Er at (0.210, 0.500, 0.865).